Entry 1:
Entry from Alexandria: a relaxed structure of SrPrHoMg (PBE-GGA).

```
4
Lattice="0.000 4.101 4.101 4.101 0.000 4.101 4.101 4.101 0.000" Properties=species:S:1:pos:R:3 pbc="T T T"
Sr 0.000 0.000 0.000
Pr 4.101 4.101 4.101
Ho 2.050 2.050 2.050
Mg 6.151 6.151 6.151
```

Summary:
**Fermi-level density of states**: 3.48 states/eV/cell
**Crystal system**: cubic
**E_tot**: -3.027 eV per atom

***

Entry 2:
Entry from Alexandria: a relaxed structure of BaTcHg2W (PBE-GGA).

```
5
Lattice="5.282 0.000 0.000 0.000 5.282 0.000 0.000 0.000 5.365" Properties=species:S:1:pos:R:3 pbc="T T T"
Ba 0.000 0.000 0.000
Tc 0.000 0.000 2.682
Hg 0.000 2.641 2.682
Hg 2.641 0.000 2.682
W 2.641 2.641 0.000
```

Summary:
**Fermi-level density of states**: 8.09 states/eV/cell
**Crystal system**: tetragonal
**E_tot**: -3.245 eV per atom

***

Entry 3:
Entry from Alexandria: a relaxed structure of K2NdDyO4 (PBE-GGA).

```
8
Lattice="6.175 0.000 0.000 0.000 3.566 0.000 -2.053 0.000 6.288" Properties=species:S:1:pos:R:3 pbc="T T T"
K 0.000 0.000 0.000
K 3.088 1.783 0.000
Nd -1.026 1.783 3.144
Dy 2.061 0.000 3.144
O 0.061 0.000 4.334
O 1.082 1.783 1.968
O 3.040 1.783 4.320
O 4.061 0.000 1.954
```

Summary:
**Fermi-level density of states**: 0.00 states/eV/cell
**Formation energy without anion corrections**: -2679 meV per atom
**Crystal system**: monoclinic
**E_tot**: -6.604 eV per atom

***

Entry 4:
Entry from Alexandria: a relaxed structure of Pm11Mg9Hg4 (PBE-GGA).

```
24
Lattice="7.634 -11.486 0.000 7.634 11.486 0.000 0.000 0.000 3.875" Properties=species:S:1:pos:R:3 pbc="T T T"
Pm 0.000 0.000 0.000
Pm 3.668 3.947 0.000
Pm 7.634 7.639 0.000
Pm 4.072 0.000 0.000
Pm 7.634 3.402 0.000
Pm 3.668 -3.947 0.000
Pm 11.601 3.947 0.000
Pm 7.634 -3.402 0.000
Pm 11.197 0.000 0.000
Pm 7.634 -7.639 0.000
Pm 11.601 -3.947 0.000
Mg 1.946 1.815 1.937
Mg 5.889 5.565 1.937
Mg 1.946 -1.815 1.937
Mg 9.380 5.565 1.937
Mg 7.634 0.000 1.937
Mg 5.889 -5.565 1.937
Mg 13.323 1.815 1.937
Mg 9.380 -5.565 1.937
Mg 13.323 -1.815 1.937
Hg 5.432 2.150 1.937
Hg 5.432 -2.150 1.937
Hg 9.837 2.150 1.937
Hg 9.837 -2.150 1.937
```

Summary:
**Fermi-level density of states**: 25.17 states/eV/cell
**Crystal system**: orthorhombic
**E_tot**: -3.048 eV per atom

***

Entry 5:
Entry from Alexandria: a relaxed structure of SrCuSnCl5 (PBE-GGA).

```
16
Lattice="4.427 -5.880 0.000 4.427 5.880 0.000 -3.956 0.000 9.286" Properties=species:S:1:pos:R:3 pbc="T T T"
Sr 0.000 0.000 0.000
Sr -1.978 0.000 4.643
Cu 1.459 2.254 6.964
Cu 3.438 -2.254 2.321
Sn 3.438 1.503 2.321
Sn 1.459 -1.503 6.964
Cl -0.252 3.653 7.599
Cl 3.438 4.481 2.321
Cl 0.852 0.647 5.301
Cl 3.171 3.653 6.329
Cl 2.830 -0.647 0.659
Cl 2.067 0.647 8.627
Cl 1.726 -3.653 2.956
Cl 4.045 -0.647 3.984
Cl 1.459 -4.481 6.964
Cl 5.149 -3.653 1.687
```

Summary:
**Formation energy without anion corrections**: -1338 meV per atom
**Crystal system**: monoclinic
**E_tot**: -3.715 eV per atom

***

Entry 6:
Entry from Alexandria: a relaxed structure of Co2CuCl (PBE-GGA).

```
4
Lattice="3.044 0.000 0.000 0.000 2.922 0.000 -0.020 0.000 6.492" Properties=species:S:1:pos:R:3 pbc="T T T"
Co 0.000 0.000 0.000
Co 1.502 1.461 5.345
Cu 1.523 1.461 1.431
Cl 1.508 0.000 3.431
```

Summary:
**Fermi-level density of states**: 3.17 states/eV/cell
**Formation energy without anion corrections**: 208 meV per atom
**Crystal system**: monoclinic
**E_tot**: -4.831 eV per atom
**ΔE to the lowest computed polymorph**: 0.0000 eV per atom

***

Entry 7:
Entry from Alexandria: a relaxed structure of ErZrZnTc (PBE-GGA).

```
4
Lattice="0.000 3.387 3.387 3.387 0.000 3.387 3.387 3.387 0.000" Properties=species:S:1:pos:R:3 pbc="T T T"
Er 0.000 0.000 0.000
Zr 3.387 3.387 3.387
Zn 5.081 5.081 5.081
Tc 1.694 1.694 1.694
```

Summary:
**Fermi-level density of states**: 4.09 states/eV/cell
**Crystal system**: cubic
**E_tot**: -6.408 eV per atom

***

Entry 8:
Entry from Alexandria: a relaxed structure of NdEr2Ir (PBE-GGA).

```
8
Lattice="1.931 -6.149 0.000 1.931 6.149 0.000 0.000 0.000 9.126" Properties=species:S:1:pos:R:3 pbc="T T T"
Nd 1.931 5.291 6.844
Nd 1.931 -5.291 2.281
Er 1.931 1.771 5.172
Er 1.931 1.771 8.517
Er 1.931 -1.771 0.609
Er 1.931 -1.771 3.954
Ir 1.931 3.116 2.281
Ir 1.931 -3.116 6.844
```

Summary:
**Fermi-level density of states**: 10.17 states/eV/cell
**Crystal system**: orthorhombic
**E_tot**: -6.215 eV per atom
**ΔE to the lowest computed polymorph**: 0.0315 eV per atom

***

Entry 9:
Entry from Alexandria: a relaxed structure of Sr2Li2PtO6 (PBE-GGA).

```
11
Lattice="2.882 1.664 4.981 -2.882 1.664 4.981 0.000 -3.328 4.981" Properties=species:S:1:pos:R:3 pbc="T T T"
Sr 0.000 0.000 3.333
Sr 0.000 0.000 11.609
Li 0.000 0.000 6.327
Li 0.000 0.000 8.616
Pt 0.000 0.000 0.000
O -1.540 -0.889 8.750
O 0.000 -1.778 6.193
O -1.540 0.889 6.193
O 1.540 -0.889 8.750
O 0.000 1.778 8.750
O 1.540 0.889 6.193
```

Summary:
**Fermi-level density of states**: 6.39 states/eV/cell
**Formation energy without anion corrections**: -1632 meV per atom
**Crystal system**: trigonal
**E_tot**: -5.540 eV per atom

***

Entry 10:
Entry from Alexandria: a relaxed structure of TiIn3S (PBE-GGA).

```
5
Lattice="5.433 0.000 0.000 0.000 5.433 0.000 0.000 0.000 5.433" Properties=species:S:1:pos:R:3 pbc="T T T"
Ti 0.000 0.000 0.000
In 0.000 0.000 2.716
In 0.000 2.716 0.000
In 2.716 0.000 0.000
S 2.716 2.716 2.716
```

Summary:
**Fermi-level density of states**: 8.69 states/eV/cell
**Formation energy without anion corrections**: 682 meV per atom
**Crystal system**: cubic
**E_tot**: -3.365 eV per atom
**ΔE to the lowest computed polymorph**: 0.0150 eV per atom

***

Entry 11:
Entry from Alexandria: a relaxed structure of Rb3Np2VSe6 (PBE-GGA).

```
12
Lattice="3.600 -6.236 0.000 3.600 6.236 0.000 -2.406 0.000 7.984" Properties=species:S:1:pos:R:3 pbc="T T T"
Rb 0.000 0.000 0.000
Rb 3.600 2.108 0.000
Rb 3.600 -2.108 0.000
Np 2.396 4.160 3.992
Np 2.396 -4.160 3.992
V 2.396 0.000 3.992
Se 1.260 1.970 2.477
Se 0.121 0.000 5.514
Se 1.260 -1.970 2.477
Se 3.533 1.970 5.506
Se 4.672 0.000 2.469
Se 3.533 -1.970 5.506
```

Summary:
**Fermi-level density of states**: 17.07 states/eV/cell
**Formation energy without anion corrections**: -1109 meV per atom
**Crystal system**: monoclinic
**E_tot**: -6.010 eV per atom

***

Entry 12:
Entry from Alexandria: a relaxed structure of Sr2CdAs4Rh3 (PBE-GGA).

```
10
Lattice="4.411 0.000 0.000 0.000 4.411 0.000 0.000 0.000 10.461" Properties=species:S:1:pos:R:3 pbc="T T T"
Sr 0.000 2.205 2.513
Sr 2.205 0.000 7.948
Cd 0.000 0.000 5.230
As 0.000 0.000 0.000
As 0.000 2.205 6.806
As 2.205 0.000 3.655
As 2.205 2.205 0.000
Rh 0.000 2.205 9.287
Rh 2.205 0.000 1.173
Rh 2.205 2.205 5.230
```

Summary:
**Fermi-level density of states**: 7.50 states/eV/cell
**Crystal system**: tetragonal
**E_tot**: -5.161 eV per atom

***

Entry 13:
Entry from Alexandria: a relaxed structure of ZrBeOs2 (PBE-GGA).

```
4
Lattice="3.969 0.000 0.000 0.000 3.969 0.000 0.000 0.000 3.792" Properties=species:S:1:pos:R:3 pbc="T T T"
Zr 0.000 0.000 0.000
Be 1.985 1.985 0.000
Os 0.000 1.985 1.896
Os 1.985 0.000 1.896
```

Summary:
**Fermi-level density of states**: 5.03 states/eV/cell
**Crystal system**: tetragonal
**E_tot**: -8.691 eV per atom

***

Entry 14:
Entry from Alexandria: a relaxed structure of Cd2InNi2 (PBE-GGA).

```
10
Lattice="6.653 0.000 0.000 0.000 6.653 0.000 0.000 0.000 3.940" Properties=species:S:1:pos:R:3 pbc="T T T"
Cd 1.071 2.256 0.000
Cd 2.256 5.582 0.000
Cd 4.397 1.071 0.000
Cd 5.582 4.397 0.000
In 0.000 0.000 1.970
In 3.327 3.327 1.970
Ni 0.882 4.208 1.970
Ni 2.445 0.882 1.970
Ni 4.208 5.771 1.970
Ni 5.771 2.445 1.970
```

Summary:
**Fermi-level density of states**: 3.98 states/eV/cell
**Crystal system**: tetragonal
**E_tot**: -3.225 eV per atom

***

Entry 15:
Entry from Alexandria: a relaxed structure of MnBeAs (PBE-GGA).

```
3
Lattice="0.000 2.759 2.759 2.759 0.000 2.759 2.759 2.759 0.000" Properties=species:S:1:pos:R:3 pbc="T T T"
Mn 0.000 0.000 0.000
Be 4.139 4.139 4.139
As 2.759 2.759 2.759
```

Summary:
**Fermi-level density of states**: 1.25 states/eV/cell
**Crystal system**: cubic
**E_tot**: -5.659 eV per atom
**ΔE to the lowest computed polymorph**: 0.3250 eV per atom

***

Entry 16:
Entry from Alexandria: a relaxed structure of Sm2Zn3GaAu4 (PBE-GGA).

```
10
Lattice="4.207 0.000 0.000 0.000 4.207 0.000 0.000 0.000 11.509" Properties=species:S:1:pos:R:3 pbc="T T T"
Sm 0.000 2.103 2.845
Sm 2.103 0.000 8.664
Zn 0.000 2.103 9.932
Zn 2.103 0.000 1.577
Zn 2.103 2.103 5.754
Ga 0.000 0.000 5.754
Au 0.000 0.000 0.000
Au 0.000 2.103 7.401
Au 2.103 0.000 4.108
Au 2.103 2.103 0.000
```

Summary:
**Fermi-level density of states**: 2.55 states/eV/cell
**Crystal system**: tetragonal
**E_tot**: -3.478 eV per atom

***

Entry 17:
Entry from Alexandria: a relaxed structure of In2SiAs (PBE-GGA).

```
4
Lattice="0.000 3.536 3.536 3.536 0.000 3.536 3.536 3.536 0.000" Properties=species:S:1:pos:R:3 pbc="T T T"
In 1.768 1.768 1.768
In 5.304 5.304 5.304
Si 0.000 0.000 0.000
As 3.536 3.536 3.536
```

Summary:
**Fermi-level density of states**: 1.82 states/eV/cell
**Formation energy without anion corrections**: 361 meV per atom
**Crystal system**: cubic
**E_tot**: -3.527 eV per atom
**ΔE to the lowest computed polymorph**: 0.2240 eV per atom

***

Entry 18:
Entry from Alexandria: a relaxed structure of Be3IrW (PBE-GGA).

```
5
Lattice="4.127 0.000 0.000 0.000 4.127 0.000 0.000 0.000 4.127" Properties=species:S:1:pos:R:3 pbc="T T T"
Be 0.000 0.000 2.063
Be 0.000 2.063 0.000
Be 2.063 0.000 0.000
Ir 2.063 2.063 2.063
W 0.000 0.000 0.000
```

Summary:
**Fermi-level density of states**: 2.83 states/eV/cell
**Crystal system**: cubic
**E_tot**: -4.970 eV per atom
**ΔE to the lowest computed polymorph**: 0.8211 eV per atom

***

Entry 19:
Entry from Alexandria: a relaxed structure of YZr2AgO (PBE-GGA).

```
5
Lattice="4.485 0.000 0.000 0.000 4.485 0.000 0.000 0.000 4.755" Properties=species:S:1:pos:R:3 pbc="T T T"
Y 0.000 0.000 0.000
Zr 0.000 2.242 2.377
Zr 2.242 0.000 2.377
Ag 2.242 2.242 0.000
O 0.000 0.000 2.377
```

Summary:
**Fermi-level density of states**: 2.36 states/eV/cell
**Formation energy without anion corrections**: -1075 meV per atom
**Crystal system**: tetragonal
**E_tot**: -7.349 eV per atom

***

Entry 20:
Entry from Alexandria: a relaxed structure of La2WBr (PBE-GGA).

```
4
Lattice="1.777 1.026 10.269 -1.777 1.026 10.269 0.000 -2.052 10.269" Properties=species:S:1:pos:R:3 pbc="T T T"
La 0.000 0.000 0.000
La 0.000 0.000 7.120
W 0.000 0.000 22.665
Br 0.000 0.000 15.114
```

Summary:
**Fermi-level density of states**: 2.92 states/eV/cell
**Formation energy without anion corrections**: 461 meV per atom
**Crystal system**: trigonal
**E_tot**: -5.659 eV per atom
**ΔE to the lowest computed polymorph**: 0.6827 eV per atom

***

Entry 21:
Entry from Alexandria: a relaxed structure of Sc2SiNi6 (PBE-GGA).

```
9
Lattice="4.322 -2.545 0.000 4.322 2.545 0.000 -1.287 0.000 5.410" Properties=species:S:1:pos:R:3 pbc="T T T"
Sc 0.818 0.000 1.913
Sc 6.538 0.000 3.496
Si 3.678 0.000 2.705
Ni 2.967 1.325 0.942
Ni 4.389 1.325 4.467
Ni 2.202 0.000 4.396
Ni 5.154 0.000 1.013
Ni 2.967 -1.325 0.942
Ni 4.389 -1.325 4.467
```

Summary:
**Fermi-level density of states**: 4.88 states/eV/cell
**Formation energy without anion corrections**: -546 meV per atom
**Crystal system**: monoclinic
**E_tot**: -6.410 eV per atom
**ΔE to the lowest computed polymorph**: 0.0000 eV per atom

***

Entry 22:
Entry from Alexandria: a relaxed structure of MnCdSi2 (PBE-GGA).

```
4
Lattice="1.457 0.841 8.283 -1.457 0.841 8.283 0.000 -1.682 8.283" Properties=species:S:1:pos:R:3 pbc="T T T"
Mn 0.000 0.000 0.000
Cd 0.000 0.000 12.425
Si 0.000 0.000 6.616
Si 0.000 0.000 18.234
```

Summary:
**Fermi-level density of states**: 2.08 states/eV/cell
**Formation energy without anion corrections**: 116 meV per atom
**Crystal system**: trigonal
**E_tot**: -5.117 eV per atom

***

Entry 23:
Entry from Alexandria: a relaxed structure of CuSi2P (PBE-GGA).

```
4
Lattice="1.365 0.788 8.396 -1.365 0.788 8.396 0.000 -1.577 8.396" Properties=species:S:1:pos:R:3 pbc="T T T"
Cu 0.000 0.000 0.000
Si 0.000 0.000 6.348
Si 0.000 0.000 18.839
P 0.000 0.000 12.594
```

Summary:
**Fermi-level density of states**: 0.83 states/eV/cell
**Formation energy without anion corrections**: 384 meV per atom
**Crystal system**: trigonal
**E_tot**: -4.704 eV per atom

***

Entry 24:
Entry from Alexandria: a relaxed structure of La4TcOs (PBE-GGA).

```
6
Lattice="0.000 4.285 4.285 4.285 0.000 4.285 4.285 4.285 0.000" Properties=species:S:1:pos:R:3 pbc="T T T"
La 1.068 1.068 1.068
La 3.217 3.217 1.068
La 3.217 1.068 3.217
La 1.068 3.217 3.217
Tc 4.285 4.285 4.285
Os 6.427 6.427 6.427
```

Summary:
**Fermi-level density of states**: 9.48 states/eV/cell
**Crystal system**: cubic
**E_tot**: -5.678 eV per atom

***

Entry 25:
Entry from Alexandria: a relaxed structure of BaNi3As3 (PBE-GGA).

```
14
Lattice="3.387 1.956 7.650 -3.387 1.956 7.650 0.000 -3.912 7.650" Properties=species:S:1:pos:R:3 pbc="T T T"
Ba 0.000 0.000 3.831
Ba 0.000 0.000 19.119
Ni -2.304 0.002 8.467
Ni -1.154 -1.994 14.483
Ni 1.150 -1.996 8.467
Ni -1.150 1.996 14.483
Ni 1.154 1.994 8.467
Ni 2.304 -0.002 14.483
As -1.089 -1.886 9.132
As -2.178 0.000 13.818
As -1.089 1.886 9.132
As 1.089 -1.886 13.818
As 2.178 0.000 9.132
As 1.089 1.886 13.818
```

Summary:
**Fermi-level density of states**: 7.77 states/eV/cell
**Crystal system**: trigonal
**E_tot**: -5.181 eV per atom
**ΔE to the lowest computed polymorph**: 0.0610 eV per atom